Record 1
YTcN3 | PBE-GGA | relaxed

Cell lengths 10.7901, 3.9760, 6.6785 Å; angles 90.00, 98.20, 90.00 degrees
Last column: nearest neighbours and their distance in Å.
Space group Cm (No. 8)
Symmetry-distinct sites (fractional):
Y 0.0000 0.0000 0.0000 (multiplicity 2)  6 N 2.27-2.53
Y 0.0929 0.5000 0.5500 (multiplicity 2)  6 N 2.30-2.47
Tc 0.2883 0.0000 0.7642 (multiplicity 2)  5 N 1.96-2.04
Tc 0.2934 0.0000 0.2576 (multiplicity 2)  4 N 1.84-1.98
N 0.1026 0.0000 0.7257 (multiplicity 2)  1 Tc 1.98
N 0.1554 0.3343 0.2222 (multiplicity 4)  1 N 1.32
N 0.2933 0.5000 0.7661 (multiplicity 2)  2 Tc 1.99
N 0.3705 0.0000 0.5214 (multiplicity 2)  2 Tc 1.84-1.96
N 0.3914 0.0000 0.0444 (multiplicity 2)  2 Tc 1.89-2.04

Results
* E: -8.837 eV per atom
* uncorrected formation energy: -2.38 eV/f.u.
* total magnetization: 0.0 Bohr magnetons per cell

***

Record 2
ScCd2Sb | PBE-GGA | relaxed

Cell lengths 4.3338, 4.4507, 9.5419 Å; angles 90.00, 90.00, 90.00 degrees
Last column: nearest neighbours and their distance in Å.
Space group Imm2 (No. 44)
Symmetry-distinct sites (fractional):
Sc 0.0000 0.0000 0.0000 (multiplicity 2)  8 Cd 3.11-3.27, 4 Sb 3.19-3.30
Cd 0.0000 0.0000 0.4983 (multiplicity 2)  4 Sc 3.11, 4 Cd 3.24-3.25, 4 Sb 3.24-3.25
Cd 0.0000 0.5000 0.2507 (multiplicity 2)  4 Sb 3.11, 4 Sc 3.22-3.27, 4 Cd 3.24-3.25
Sb 0.0000 0.5000 0.7452 (multiplicity 2)  8 Cd 3.11-3.25, 4 Sc 3.19-3.30

Results
* E: -3.319 eV per atom
* uncorrected formation energy: -0.99 eV/f.u.
* total magnetization: 0.0 Bohr magnetons per cell

***

Record 3
As2OsRh2 | PBE-GGA | relaxed

Cell lengths 6.9021, 6.9021, 3.1523 Å; angles 90.00, 90.00, 90.00 degrees
Last column: nearest neighbours and their distance in Å.
Space group P4/mbm (No. 127)
Symmetry-distinct sites (fractional):
As 0.1565 0.3435 0.0000 (multiplicity 4)  6 Rh 2.50-2.61, 2 Os 2.61
Os 0.0000 0.0000 0.0000 (multiplicity 2)  4 As 2.61
Rh 0.1446 0.6446 0.5000 (multiplicity 4)  6 As 2.50-2.61

Results
* E: -6.884 eV per atom
* energy relative to the elements: 0.16 eV per atom
* total magnetization: 0.0 Bohr magnetons per cell

***

Record 4
Ce6SnSe12 | PBE-GGA | relaxed

Cell lengths 12.8493, 12.8493, 11.7457 Å; angles 90.00, 90.00, 120.00 degrees
Last column: nearest neighbours and their distance in Å.
Space group R-3 (No. 148, hexagonal axes)
Symmetry-distinct sites (fractional):
Ce 0.0501 0.7809 0.1469 (multiplicity 18)  7 Se 2.91-3.12
Sn 0.0000 0.0000 0.5000 (multiplicity 3)  6 Se 2.79
Se 0.0347 0.8171 0.8948 (multiplicity 18)  4 Ce 2.91-3.04
Se 0.0530 0.8400 0.3887 (multiplicity 18)  1 Sn 2.79, 3 Ce 2.92-3.12

Results
* E: -5.826 eV per atom
* uncorrected formation energy: -29.28 eV/f.u.
* total magnetization: 8.4 Bohr magnetons per cell

***

Record 5
Dy3Pu2ThTe6 | PBE-GGA | relaxed

Cell lengths 19.2387, 4.3522, 8.8829 Å; angles 90.00, 104.17, 90.00 degrees
Last column: nearest neighbours and their distance in Å.
Space group C2/m (No. 12)
Symmetry-distinct sites (fractional):
Dy 0.0000 0.0000 0.0000 (multiplicity 2)  6 Te 3.05-3.10
Dy 0.1653 0.5000 0.3337 (multiplicity 4)  6 Te 3.06-3.10
Pu 0.1656 0.5000 0.8314 (multiplicity 4)  6 Te 3.11-3.14
Th 0.0000 0.0000 0.5000 (multiplicity 2)  6 Te 3.17
Te 0.0012 0.5000 0.2415 (multiplicity 4)  3 Dy 3.05-3.06, 1 Pu 3.11, 2 Th 3.17
Te 0.1661 0.0000 0.0862 (multiplicity 4)  3 Dy 3.10, 3 Pu 3.14
Te 0.1701 0.0000 0.5815 (multiplicity 4)  3 Dy 3.07-3.08, 2 Pu 3.12, 1 Th 3.17

Results
* E: -6.916 eV per atom
* uncorrected formation energy: -14.26 eV/f.u.
* total magnetization: 24.0 Bohr magnetons per cell

***

Record 6
LaTb2In | PBE-GGA | relaxed

Cell lengths 3.6615, 3.6615, 32.9916 Å; angles 90.00, 90.00, 120.00 degrees
Last column: nearest neighbours and their distance in Å.
Space group R3m (No. 160, hexagonal axes)
Symmetry-distinct sites (fractional):
La 0.0000 0.0000 0.0000 (multiplicity 3)  6 La 3.66, 6 Tb 3.69-3.70
Tb 0.0000 0.0000 0.5751 (multiplicity 3)  3 In 3.26
Tb 0.0000 0.0000 0.7586 (multiplicity 3)  3 In 3.24
In 0.0000 0.0000 0.1665 (multiplicity 3)  6 Tb 3.24-3.26

Results
* E: -4.356 eV per atom
* energy relative to the elements: -0.12 eV per atom
* energy above the most stable polymorph in this dataset: 137 meV per atom
* total magnetization: 0.0 Bohr magnetons per cell

***

Record 7
La6PrSm8 | PBE-GGA | relaxed

Cell lengths 9.3132, 9.3132, 21.3242 Å; angles 90.00, 90.00, 120.00 degrees
Last column: nearest neighbours and their distance in Å.
Space group R-3 (No. 148, hexagonal axes)
Symmetry-distinct sites (fractional):
La 0.0521 0.8066 0.2108 (multiplicity 18)  4 Sm 3.42-3.78, 1 Pr 3.59, 2 La 3.61
Pr 0.0000 0.0000 0.5000 (multiplicity 3)  6 La 3.59, 6 Sm 3.63
Sm 0.0000 0.0000 0.0768 (multiplicity 6)  4 Sm 3.28-3.51, 3 La 3.54
Sm 0.0795 0.5148 0.3067 (multiplicity 18)  3 La 3.42-3.78, 5 Sm 3.51-3.57, 1 Pr 3.63

Results
* E: -4.699 eV per atom
* energy relative to the elements: 0.11 eV per atom
* total magnetization: 0.0 Bohr magnetons per cell

***

Record 8
TaZn2Re | PBE-GGA | relaxed

Cell lengths 6.2113, 6.2113, 6.2113 Å; angles 90.00, 90.00, 90.00 degrees
Last column: nearest neighbours and their distance in Å.
Space group Fm-3m (No. 225)
Symmetry-distinct sites (fractional):
Ta 0.0000 0.0000 0.0000 (multiplicity 4)  8 Zn 2.69
Zn 0.2500 0.2500 0.2500 (multiplicity 8)  4 Ta 2.69, 4 Re 2.69
Re 0.0000 0.0000 0.5000 (multiplicity 4)  8 Zn 2.69

Results
* E: -6.386 eV per atom
* energy relative to the elements: 0.33 eV per atom
* energy above the most stable polymorph in this dataset: 296 meV per atom
* total magnetization: 0.0 Bohr magnetons per cell

***

Which value of E does entry 3 give? -6.884 eV per atom

***

Repeat the fifth record exactly.
Dy3Pu2ThTe6 | PBE-GGA | relaxed

Cell lengths 19.2387, 4.3522, 8.8829 Å; angles 90.00, 104.17, 90.00 degrees
Last column: nearest neighbours and their distance in Å.
Space group C2/m (No. 12)
Symmetry-distinct sites (fractional):
Dy 0.0000 0.0000 0.0000 (multiplicity 2)  6 Te 3.05-3.10
Dy 0.1653 0.5000 0.3337 (multiplicity 4)  6 Te 3.06-3.10
Pu 0.1656 0.5000 0.8314 (multiplicity 4)  6 Te 3.11-3.14
Th 0.0000 0.0000 0.5000 (multiplicity 2)  6 Te 3.17
Te 0.0012 0.5000 0.2415 (multiplicity 4)  3 Dy 3.05-3.06, 1 Pu 3.11, 2 Th 3.17
Te 0.1661 0.0000 0.0862 (multiplicity 4)  3 Dy 3.10, 3 Pu 3.14
Te 0.1701 0.0000 0.5815 (multiplicity 4)  3 Dy 3.07-3.08, 2 Pu 3.12, 1 Th 3.17

Results
* E: -6.916 eV per atom
* uncorrected formation energy: -14.26 eV/f.u.
* total magnetization: 24.0 Bohr magnetons per cell

***

What did the third record say?
As2OsRh2 | PBE-GGA | relaxed

Cell lengths 6.9021, 6.9021, 3.1523 Å; angles 90.00, 90.00, 90.00 degrees
Last column: nearest neighbours and their distance in Å.
Space group P4/mbm (No. 127)
Symmetry-distinct sites (fractional):
As 0.1565 0.3435 0.0000 (multiplicity 4)  6 Rh 2.50-2.61, 2 Os 2.61
Os 0.0000 0.0000 0.0000 (multiplicity 2)  4 As 2.61
Rh 0.1446 0.6446 0.5000 (multiplicity 4)  6 As 2.50-2.61

Results
* E: -6.884 eV per atom
* energy relative to the elements: 0.16 eV per atom
* total magnetization: 0.0 Bohr magnetons per cell

***

Which value of E does entry 7 give? -4.699 eV per atom